Here is an optimized crystal structure of Sc4ZnPdRu2 from the Alexandria database. Energies are from PBE.

Energy of formation   -640 meV per atom
Space-group type   R-3m (166)

Lattice parameters (Å, degrees): 8.0023 8.0023 8.0023 33.44 33.44 33.44
Last column: nearest neighbours and their distance in Å.
Sites, in units of the cell vectors:
Sc 0.1241 0.1241 0.1241  4 Ru 2.81-2.83, 1 Pd 2.81, 3 Zn 2.83
Sc 0.3745 0.3745 0.3745  3 Pd 2.82, 4 Ru 2.83-2.85, 1 Zn 2.84
Sc 0.6255 0.6255 0.6255  3 Pd 2.82, 4 Ru 2.83-2.85, 1 Zn 2.84
Sc 0.8759 0.8759 0.8759  4 Ru 2.81-2.83, 1 Pd 2.81, 3 Zn 2.83
Zn 0.5000 0.5000 0.5000  8 Sc 2.83-2.84
Pd 0.0000 0.0000 0.0000  8 Sc 2.81-2.82
Ru 0.2489 0.2489 0.2489  8 Sc 2.81-2.85
Ru 0.7511 0.7511 0.7511  8 Sc 2.81-2.85


Here is an optimized crystal structure of TaCo2Rh from the Alexandria database. Energies are from PBE.

Energy of formation   -116 meV per atom
Space-group type   Cmmm (65)
Energy relative to the lowest polymorph listed for this composition   0.221 eV per atom

Lattice parameters (Å, degrees): 4.4236 4.4236 2.8147 90.00 90.00 106.20
Last column: nearest neighbours and their distance in Å.
Sites, in units of the cell vectors:
Ta 0.0000 0.0000 0.0000  8 Co 2.62, 2 Rh 2.66, 2 Ta 2.81
Co 0.0000 0.5000 0.5000  4 Ta 2.62, 4 Rh 2.62, 4 Co 2.66-2.81
Co 0.5000 0.0000 0.5000  4 Ta 2.62, 4 Rh 2.62, 4 Co 2.66-2.81
Rh 0.5000 0.5000 0.0000  8 Co 2.62, 2 Ta 2.66, 2 Rh 2.81


Here is an optimized crystal structure of CdRu2Se from the Alexandria database. Energies are from PBE.

Energy relative to the elements, uncorrected   145 kJ/mol of formula units
Space-group type   P2/m (10)
Energy relative to the lowest polymorph listed for this composition   0.197 eV per atom

Lattice parameters (Å, degrees): 3.0210 4.0004 5.6754 90.00 104.04 90.00
Last column: nearest neighbours and their distance in Å.
Sites, in units of the cell vectors:
Cd 0.0000 0.0000 0.0000  2 Se 2.87, 8 Ru 2.95-2.97, 2 Cd 3.02
Ru 0.3621 0.5000 0.7148  2 Se 2.43
Ru 0.6379 0.5000 0.2852  2 Se 2.43
Se 0.5000 0.0000 0.5000  4 Ru 2.43


Here is an optimized crystal structure of AlV2Hg from the Alexandria database. Energies are from PBE.

Energy of formation   321 meV per atom
Space-group type   Fm-3m (225)
Energy relative to the lowest polymorph listed for this composition   0.000 eV per atom

Lattice parameters (Å, degrees): 4.4737 4.4737 4.4737 60.00 60.00 60.00
Last column: nearest neighbours and their distance in Å.
Sites, in units of the cell vectors:
Al 0.0000 0.0000 0.0000  8 V 2.74
V 0.2500 0.2500 0.2500  4 Hg 2.74, 4 Al 2.74
V 0.7500 0.7500 0.7500  4 Hg 2.74, 4 Al 2.74
Hg 0.5000 0.5000 0.5000  8 V 2.74


Here is an optimized crystal structure of AcDyY2Ho from the Alexandria database. Energies are from PBE.

Energy of formation   353 meV per atom
Space-group type   Cmcm (63)

Lattice parameters (Å, degrees): 7.3158 7.3158 7.3272 90.00 90.00 108.92
Last column: nearest neighbours and their distance in Å.
Sites, in units of the cell vectors:
Ac 0.2476 0.7524 0.7500  1 Dy 3.37, 2 Ho 3.70
Ac 0.7524 0.2476 0.2500  1 Dy 3.37, 2 Ho 3.70
Dy 0.4697 0.5303 0.2500  1 Ho 3.18, 4 Y 3.22, 1 Ac 3.37
Dy 0.5303 0.4697 0.7500  1 Ho 3.18, 4 Y 3.22, 1 Ac 3.37
Y 0.1916 0.1916 0.0000  2 Dy 3.22, 1 Y 3.26, 2 Ho 3.44
Y 0.1916 0.1916 0.5000  2 Dy 3.22, 1 Y 3.26, 2 Ho 3.44
Y 0.8084 0.8084 0.0000  2 Dy 3.22, 1 Y 3.26, 2 Ho 3.44
Y 0.8084 0.8084 0.5000  2 Dy 3.22, 1 Y 3.26, 2 Ho 3.44
Ho 0.2029 0.7971 0.2500  1 Dy 3.18, 4 Y 3.44
Ho 0.7971 0.2029 0.7500  1 Dy 3.18, 4 Y 3.44


Here is an optimized crystal structure of InGaBr2 from the Alexandria database. Energies are from PBE.

Energy relative to the elements, uncorrected   -220 kJ/mol of formula units
Space-group type   R3m (160)
Energy relative to the lowest polymorph listed for this composition   0.026 eV per atom

Lattice parameters (Å, degrees): 8.3110 8.3110 8.3110 31.17 31.17 31.17
Last column: nearest neighbours and their distance in Å.
Sites, in units of the cell vectors:
In 0.0000 0.0000 0.0000  6 Br 3.31-3.36
Ga 0.8325 0.8325 0.8325  6 Br 3.15-3.18
Br 0.2425 0.2425 0.2425  3 Ga 3.15, 3 In 3.36
Br 0.4209 0.4209 0.4209  3 Ga 3.18, 3 In 3.31


Here is an optimized crystal structure of CuTcMo2 from the Alexandria database. Energies are from PBE.

Energy of formation   198 meV per atom
Space-group type   C2/m (12)
Energy relative to the lowest polymorph listed for this composition   0.053 eV per atom

Lattice parameters (Å, degrees): 5.1034 5.1034 2.6365 98.51 98.51 116.43
Last column: nearest neighbours and their distance in Å.
Sites, in units of the cell vectors:
Cu 0.0000 0.0000 0.0000  2 Cu 2.64, 2 Tc 2.69, 4 Mo 2.69
Tc 0.5000 0.5000 0.0000  2 Tc 2.64, 2 Cu 2.69, 4 Mo 2.69
Mo 0.0000 0.5000 0.5000  4 Mo 2.64-2.69, 2 Tc 2.69, 2 Cu 2.69
Mo 0.5000 0.0000 0.5000  4 Mo 2.64-2.69, 2 Tc 2.69, 2 Cu 2.69


Here is an optimized crystal structure of Ba6Bi2SN from the Alexandria database. Energies are from PBE.

Energy relative to the elements, uncorrected   -925 kJ/mol of formula units
Space-group type   Pmmn (59)

Lattice parameters (Å, degrees): 8.2195 11.6039 8.2209 90.00 90.00 90.00
Last column: nearest neighbours and their distance in Å.
Sites, in units of the cell vectors:
Ba 0.0129 0.2500 0.0124  1 N 2.76, 1 S 3.06
Ba 0.0128 0.2500 0.4865  1 N 2.76, 1 S 3.06
Ba 0.2500 0.0132 0.2494  1 N 2.75, 1 S 3.05
Ba 0.2500 0.4868 0.2494  1 N 2.75, 1 S 3.05
Ba 0.4871 0.2500 0.0124  1 N 2.76, 1 S 3.06
Ba 0.4872 0.2500 0.4865  1 N 2.76, 1 S 3.06
Ba 0.5128 0.7500 0.5135  1 N 2.76, 1 S 3.06
Ba 0.5129 0.7500 0.9876  1 N 2.76, 1 S 3.06
Ba 0.7500 0.5132 0.7506  1 N 2.75, 1 S 3.05
Ba 0.7500 0.9868 0.7506  1 N 2.75, 1 S 3.05
Ba 0.9872 0.7500 0.5135  1 N 2.76, 1 S 3.06
Ba 0.9871 0.7500 0.9876  1 N 2.76, 1 S 3.06
Bi 0.2500 0.9999 0.7503  12 Ba 4.11-4.12
Bi 0.2500 0.5001 0.7503  12 Ba 4.11-4.12
Bi 0.7500 0.0001 0.2497  12 Ba 4.11-4.12
Bi 0.7500 0.4999 0.2497  12 Ba 4.11-4.12
S 0.2500 0.7500 0.2506  6 Ba 3.05-3.06
S 0.7500 0.2500 0.7494  6 Ba 3.05-3.06
N 0.2500 0.2500 0.2496  6 Ba 2.75-2.76
N 0.7500 0.7500 0.7504  6 Ba 2.75-2.76


Copy entry 7 word for word.
Here is an optimized crystal structure of CuTcMo2 from the Alexandria database. Energies are from PBE.

Energy of formation   198 meV per atom
Space-group type   C2/m (12)
Energy relative to the lowest polymorph listed for this composition   0.053 eV per atom

Lattice parameters (Å, degrees): 5.1034 5.1034 2.6365 98.51 98.51 116.43
Last column: nearest neighbours and their distance in Å.
Sites, in units of the cell vectors:
Cu 0.0000 0.0000 0.0000  2 Cu 2.64, 2 Tc 2.69, 4 Mo 2.69
Tc 0.5000 0.5000 0.0000  2 Tc 2.64, 2 Cu 2.69, 4 Mo 2.69
Mo 0.0000 0.5000 0.5000  4 Mo 2.64-2.69, 2 Tc 2.69, 2 Cu 2.69
Mo 0.5000 0.0000 0.5000  4 Mo 2.64-2.69, 2 Tc 2.69, 2 Cu 2.69


> What is the formula in the second record?

TaCo2Rh